No. 1
Entry from Alexandria via LeMat-Bulk: a geometry-optimized SmZrFe10 structure (GGA-PBE).

```
SmZrFe10
1.0
-3.530 1.077 -1.426
0.042 -3.902 -3.052
-3.868 -4.734 6.000
Sm Zr Fe
1 1 10
direct
0.000 0.000 0.000
0.000 0.500 0.500
0.000 0.000 0.340
0.000 0.500 0.826
0.000 0.500 0.174
0.000 0.000 0.660
0.500 0.000 0.500
0.500 0.500 0.000
0.500 0.253 0.257
0.500 0.747 0.743
0.500 0.747 0.257
0.500 0.253 0.743
```

Magnetic moment   19.33 μB per cell
DFT total energy   -8.19 eV per atom

---

No. 2
Entry from Alexandria via LeMat-Bulk: a geometry-optimized LiBeCrH6 structure (GGA-PBE).

```
LiBeCrH6
1.0
4.087 0.000 0.000
-2.043 3.539 0.000
0.000 0.000 8.732
Li Be Cr H
2 2 2 12
direct
0.000 0.000 0.000
0.000 0.000 0.500
0.333 0.667 0.250
0.667 0.333 0.750
0.667 0.333 0.250
0.333 0.667 0.750
0.499 0.501 0.122
0.002 0.501 0.122
0.501 0.002 0.622
0.998 0.499 0.878
0.499 0.501 0.378
0.002 0.501 0.378
0.501 0.002 0.878
0.499 0.998 0.378
0.998 0.499 0.622
0.499 0.998 0.122
0.501 0.499 0.622
0.501 0.499 0.878
```

Magnetic moment   1.98 μB per cell
DFT total energy   -3.94 eV per atom

---

| no. | DOS at the Fermi energy (states/eV/cell) |
| --- | --- |
| 1 | 10.44 |
| 2 | 3.79 |